i) This record from Alexandria describes an optimized crystal structure of KCaHg4. The functional is GGA-PBE.

Structure (CIF):
```
data_KCaHg4
_space_group_name_H-M_alt 'P 6/m m m'
_space_group_IT_number 191
_space_group_name_Hall '-P 6 2'
_cell_length_a 5.1008
_cell_length_b 5.1008
_cell_length_c 8.1231
_cell_angle_alpha 90.00
_cell_angle_beta 90.00
_cell_angle_gamma 120.00
loop_
_atom_site_label
_atom_site_fract_x
_atom_site_fract_y
_atom_site_fract_z
K1 0.0000 0.0000 0.0000
Ca1 0.0000 0.0000 0.5000
Hg1 0.3333 0.6667 0.2967
```

## Properties
volume	183.0	Å³ per cell
N(E_F)	4.8	states/eV/f.u.

ii) This record from Alexandria describes an optimized crystal structure of KCaHg4. The functional is GGA-PBE.

Structure (CIF):
```
data_KCaHg4
_space_group_name_H-M_alt 'F -4 3 m'
_space_group_IT_number 216
_space_group_name_Hall 'F -4 2 3'
_cell_length_a 8.804
_cell_length_b 8.804
_cell_length_c 8.804
_cell_angle_alpha 90.00
_cell_angle_beta 90.00
_cell_angle_gamma 90.00
loop_
_atom_site_label
_atom_site_fract_x
_atom_site_fract_y
_atom_site_fract_z
K1 0.000 0.000 0.000
Ca1 0.250 0.250 0.750
Hg1 0.125 0.125 0.375
```

## Properties
volume	682.4	Å³ per cell
N(E_F)	3.5	states/eV/f.u.

Unit: meV/atom. Relative energies: i) 0; ii) 130.

i) This record from Alexandria describes an optimized crystal structure of KCa2Hg2. The functional is GGA-PBE.

Structure (CIF):
```
data_KCa2Hg2
_space_group_name_H-M_alt 'P 4/m b m'
_space_group_IT_number 127
_space_group_name_Hall '-P 4 2ab'
_cell_length_a 9.103
_cell_length_b 9.103
_cell_length_c 3.960
_cell_angle_alpha 90.00
_cell_angle_beta 90.00
_cell_angle_gamma 90.00
loop_
_atom_site_label
_atom_site_fract_x
_atom_site_fract_y
_atom_site_fract_z
K1 0.000 0.000 0.000
Ca1 0.144 0.356 0.500
Hg1 0.147 0.647 0.000
```

## Properties
volume	328.1	Å³ per cell
N(E_F)	2.8	states/eV/f.u.

ii) This record from Alexandria describes an optimized crystal structure of KCa2Hg2. The functional is GGA-PBE.

Structure (CIF):
```
data_KCa2Hg2
_space_group_name_H-M_alt 'I 4/m m m'
_space_group_IT_number 139
_space_group_name_Hall '-I 4 2'
_cell_length_a 5.818
_cell_length_b 5.818
_cell_length_c 11.826
_cell_angle_alpha 90.00
_cell_angle_beta 90.00
_cell_angle_gamma 90.00
loop_
_atom_site_label
_atom_site_fract_x
_atom_site_fract_y
_atom_site_fract_z
K1 0.000 0.000 0.000
Ca1 0.000 0.000 0.341
Hg1 0.000 0.500 0.250
```

## Properties
volume	400.4	Å³ per cell
N(E_F)	3.6	states/eV/f.u.

Unit: meV/atom. Relative energies: i) 0; ii) 161.

i) This record from Alexandria describes an optimized crystal structure of K3CaHg. The functional is GGA-PBE.

Structure (CIF):
```
data_K3CaHg
_space_group_name_H-M_alt 'P m -3 m'
_space_group_IT_number 221
_space_group_name_Hall '-P 4 2 3'
_cell_length_a 7.723
_cell_length_b 7.723
_cell_length_c 7.723
_cell_angle_alpha 90.00
_cell_angle_beta 90.00
_cell_angle_gamma 90.00
loop_
_atom_site_label
_atom_site_fract_x
_atom_site_fract_y
_atom_site_fract_z
K1 0.000 0.000 0.500
Ca1 0.000 0.000 0.000
Hg1 0.500 0.500 0.500
```

## Properties
volume	460.6	Å³ per cell
N(E_F)	4.1	states/eV/f.u.

ii) This record from Alexandria describes an optimized crystal structure of K3CaHg. The functional is GGA-PBE.

Structure (CIF):
```
data_K3CaHg
_space_group_name_H-M_alt 'P m -3 m'
_space_group_IT_number 221
_space_group_name_Hall '-P 4 2 3'
_cell_length_a 6.635
_cell_length_b 6.635
_cell_length_c 6.635
_cell_angle_alpha 90.00
_cell_angle_beta 90.00
_cell_angle_gamma 90.00
loop_
_atom_site_label
_atom_site_fract_x
_atom_site_fract_y
_atom_site_fract_z
K1 0.000 0.000 0.500
Ca1 0.500 0.500 0.500
Hg1 0.000 0.000 0.000
```

## Properties
volume	292.1	Å³ per cell
N(E_F)	3.5	states/eV/f.u.

Unit: meV/atom. Relative energies: i) 288; ii) 0.

i) This record from Alexandria describes an optimized crystal structure of KCa3Hg. The functional is GGA-PBE.

Structure (CIF):
```
data_KCa3Hg
_space_group_name_H-M_alt 'P m -3 m'
_space_group_IT_number 221
_space_group_name_Hall '-P 4 2 3'
_cell_length_a 6.788
_cell_length_b 6.788
_cell_length_c 6.788
_cell_angle_alpha 90.00
_cell_angle_beta 90.00
_cell_angle_gamma 90.00
loop_
_atom_site_label
_atom_site_fract_x
_atom_site_fract_y
_atom_site_fract_z
K1 0.000 0.000 0.000
Ca1 0.000 0.000 0.500
Hg1 0.500 0.500 0.500
```

## Properties
volume	312.8	Å³ per cell
N(E_F)	7.6	states/eV/f.u.

ii) This record from Alexandria describes an optimized crystal structure of KCa3Hg. The functional is GGA-PBE.

Structure (CIF):
```
data_KCa3Hg
_space_group_name_H-M_alt 'P m -3 m'
_space_group_IT_number 221
_space_group_name_Hall '-P 4 2 3'
_cell_length_a 6.073
_cell_length_b 6.073
_cell_length_c 6.073
_cell_angle_alpha 90.00
_cell_angle_beta 90.00
_cell_angle_gamma 90.00
loop_
_atom_site_label
_atom_site_fract_x
_atom_site_fract_y
_atom_site_fract_z
K1 0.000 0.000 0.000
Ca1 0.000 0.500 0.500
Hg1 0.500 0.500 0.500
```

## Properties
volume	223.9	Å³ per cell
N(E_F)	4.5	states/eV/f.u.

Unit: meV/atom. Relative energies: i) 920; ii) 0.

i) This record from Alexandria describes an optimized crystal structure of KCa2HgPd. The functional is GGA-PBE.

Structure (CIF):
```
data_KCa2HgPd
_space_group_name_H-M_alt 'P 4/m m m'
_space_group_IT_number 123
_space_group_name_Hall '-P 4 2'
_cell_length_a 5.600
_cell_length_b 5.600
_cell_length_c 5.490
_cell_angle_alpha 90.00
_cell_angle_beta 90.00
_cell_angle_gamma 90.00
loop_
_atom_site_label
_atom_site_fract_x
_atom_site_fract_y
_atom_site_fract_z
K1 0.000 0.000 0.000
Ca1 0.000 0.500 0.500
Hg1 0.500 0.500 0.000
Pd1 0.500 0.500 0.500
```

## Properties
volume	172.2	Å³ per cell
N(E_F)	2.2	states/eV/f.u.

ii) This record from Alexandria describes an optimized crystal structure of KCa2HgPd. The functional is GGA-PBE.

Structure (CIF):
```
data_KCa2HgPd
_space_group_name_H-M_alt 'P 4/m m m'
_space_group_IT_number 123
_space_group_name_Hall '-P 4 2'
_cell_length_a 5.551
_cell_length_b 5.551
_cell_length_c 6.138
_cell_angle_alpha 90.00
_cell_angle_beta 90.00
_cell_angle_gamma 90.00
loop_
_atom_site_label
_atom_site_fract_x
_atom_site_fract_y
_atom_site_fract_z
K1 0.000 0.000 0.000
Ca1 0.000 0.500 0.500
Hg1 0.500 0.500 0.000
Pd1 0.000 0.000 0.500
```

## Properties
volume	189.1	Å³ per cell
N(E_F)	2.4	states/eV/f.u.

Unit: meV/atom. Relative energies: i) 0; ii) 105.

i) This record from Alexandria describes an optimized crystal structure of CaLa2Hg2. The functional is GGA-PBE.

Structure (CIF):
```
data_CaLa2Hg2
_space_group_name_H-M_alt 'P 4/m b m'
_space_group_IT_number 127
_space_group_name_Hall '-P 4 2ab'
_cell_length_a 8.936
_cell_length_b 8.936
_cell_length_c 4.004
_cell_angle_alpha 90.00
_cell_angle_beta 90.00
_cell_angle_gamma 90.00
loop_
_atom_site_label
_atom_site_fract_x
_atom_site_fract_y
_atom_site_fract_z
Ca1 0.000 0.000 0.000
La1 0.164 0.336 0.500
Hg1 0.133 0.633 0.000
```

## Properties
volume	319.7	Å³ per cell
N(E_F)	5.7	states/eV/f.u.

ii) This record from Alexandria describes an optimized crystal structure of CaLa2Hg2. The functional is GGA-PBE.

Structure (CIF):
```
data_CaLa2Hg2
_space_group_name_H-M_alt 'I 4/m m m'
_space_group_IT_number 139
_space_group_name_Hall '-I 4 2'
_cell_length_a 4.755
_cell_length_b 4.755
_cell_length_c 14.635
_cell_angle_alpha 90.00
_cell_angle_beta 90.00
_cell_angle_gamma 90.00
loop_
_atom_site_label
_atom_site_fract_x
_atom_site_fract_y
_atom_site_fract_z
Ca1 0.000 0.000 0.000
La1 0.000 0.500 0.250
Hg1 0.000 0.000 0.404
```

## Properties
volume	330.9	Å³ per cell
N(E_F)	5.4	states/eV/f.u.

iii) This record from Alexandria describes an optimized crystal structure of CaLa2Hg2. The functional is GGA-PBE.

Structure (CIF):
```
data_CaLa2Hg2
_space_group_name_H-M_alt 'P 4/m b m'
_space_group_IT_number 127
_space_group_name_Hall '-P 4 2ab'
_cell_length_a 9.247
_cell_length_b 9.247
_cell_length_c 3.633
_cell_angle_alpha 90.00
_cell_angle_beta 90.00
_cell_angle_gamma 90.00
loop_
_atom_site_label
_atom_site_fract_x
_atom_site_fract_y
_atom_site_fract_z
Ca1 0.000 0.000 0.000
La1 0.120 0.380 0.000
Hg1 0.175 0.675 0.500
```

## Properties
volume	310.7	Å³ per cell
N(E_F)	5.1	states/eV/f.u.

Unit: meV/atom. Relative energies: i) 0; ii) 180; iii) 107.

i) This record from Alexandria describes an optimized crystal structure of CaLaHg6. The functional is GGA-PBE.

Structure (CIF):
```
data_CaLaHg6
_space_group_name_H-M_alt 'A m m 2'
_space_group_IT_number 38
_cell_length_a 5.201
_cell_length_b 6.807
_cell_length_c 11.788
_cell_angle_alpha 90.00
_cell_angle_beta 90.00
_cell_angle_gamma 90.00
loop_
_space_group_symop_operation_xyz
'x,y,z'
'-x,-y,z'
'-x,y,z'
'x,-y,z'
'x,y+1/2,z+1/2'
'-x,-y+1/2,z+1/2'
'-x,y+1/2,z+1/2'
'x,-y+1/2,z+1/2'
loop_
_atom_site_label
_atom_site_fract_x
_atom_site_fract_y
_atom_site_fract_z
Ca1 0.000 0.000 0.000
La1 0.500 0.000 0.668
Hg1 0.000 0.000 0.497
Hg2 0.000 0.243 0.253
Hg3 0.500 0.000 0.171
Hg4 0.500 0.242 0.415
```

## Properties
volume	417.3	Å³ per cell
N(E_F)	5.8	states/eV/f.u.

ii) This record from Alexandria describes an optimized crystal structure of CaLaHg6. The functional is GGA-PBE.

Structure (CIF):
```
data_CaLaHg6
_space_group_name_H-M_alt 'P m m 2'
_space_group_IT_number 25
_cell_length_a 5.297
_cell_length_b 6.915
_cell_length_c 5.636
_cell_angle_alpha 90.00
_cell_angle_beta 90.00
_cell_angle_gamma 90.00
loop_
_space_group_symop_operation_xyz
'x,y,z'
'-x,-y,z'
'-x,y,z'
'x,-y,z'
loop_
_atom_site_label
_atom_site_fract_x
_atom_site_fract_y
_atom_site_fract_z
Ca1 0.000 0.000 0.000
La1 0.500 0.500 0.683
Hg1 0.000 0.246 0.513
Hg2 0.000 0.500 0.038
Hg3 0.500 0.000 0.665
Hg4 0.500 0.242 0.175
```

## Properties
volume	206.4	Å³ per cell
N(E_F)	3.9	states/eV/f.u.

Unit: meV/atom. Relative energies: i) 0; ii) 21.

i) This record from Alexandria describes an optimized crystal structure of Ca3LaHg. The functional is GGA-PBE.

Structure (CIF):
```
data_Ca3LaHg
_space_group_name_H-M_alt 'P m -3 m'
_space_group_IT_number 221
_space_group_name_Hall '-P 4 2 3'
_cell_length_a 5.885
_cell_length_b 5.885
_cell_length_c 5.885
_cell_angle_alpha 90.00
_cell_angle_beta 90.00
_cell_angle_gamma 90.00
loop_
_atom_site_label
_atom_site_fract_x
_atom_site_fract_y
_atom_site_fract_z
Ca1 0.000 0.000 0.500
La1 0.000 0.000 0.000
Hg1 0.500 0.500 0.500
```

## Properties
volume	203.8	Å³ per cell
N(E_F)	7.6	states/eV/f.u.

ii) This record from Alexandria describes an optimized crystal structure of Ca3LaHg. The functional is GGA-PBE.

Structure (CIF):
```
data_Ca3LaHg
_space_group_name_H-M_alt 'P m -3 m'
_space_group_IT_number 221
_space_group_name_Hall '-P 4 2 3'
_cell_length_a 5.855
_cell_length_b 5.855
_cell_length_c 5.855
_cell_angle_alpha 90.00
_cell_angle_beta 90.00
_cell_angle_gamma 90.00
loop_
_atom_site_label
_atom_site_fract_x
_atom_site_fract_y
_atom_site_fract_z
Ca1 0.000 0.000 0.500
La1 0.500 0.500 0.500
Hg1 0.000 0.000 0.000
```

## Properties
volume	200.8	Å³ per cell
N(E_F)	5.3	states/eV/f.u.

Unit: meV/atom. Relative energies: i) 833; ii) 0.